# 1
Here is ZrBeAs2Se after structural relaxation from Alexandria via LeMat-Bulk. Energies are from PBE-GGA.

Properties
For the volume, the calculation gives 95.3 Å³/cell. The uncorrected formation energy comes out at 2.6 kcal/mol of atoms. As for the crystal system: tetragonal. As for the magnetic moment: 0.00 μB per formula unit. Its energy above the lowest structure with this stoichiometry is 0.000 eV/atom. The density of states at the Fermi level is 0.801 states/eV per atom.

abc: 4.2835 4.2835 5.1927
angles: 90.00 90.00 90.00
Last column: nearest neighbours and their distance in Å.
Space group P4/mmm (No. 123)
Inequivalent atoms, fractional coordinates:
1 Zr 0.0000 0.0000 0.0000 (multiplicity 1)  4 Se 3.03, 8 As 3.37
2 Be 0.5000 0.5000 0.5000 (multiplicity 1)  4 As 2.14
3 As 0.0000 0.5000 0.5000 (multiplicity 2)  2 Be 2.14
4 Se 0.5000 0.5000 0.0000 (multiplicity 1)  2 Be 2.60

# 2
Here is ZrBeAs2Se after structural relaxation from Alexandria via LeMat-Bulk. Energies are from PBE-GGA.

Properties
For the volume, the calculation gives 140.1 Å³/cell. The uncorrected formation energy comes out at 13.5 kcal/mol of atoms. As for the crystal system: tetragonal. As for the magnetic moment: 0.00 μB per formula unit. Its energy above the lowest structure with this stoichiometry is 0.475 eV/atom. The density of states at the Fermi level is 1.188 states/eV per atom.

abc: 5.2218 5.2218 5.1363
angles: 90.00 90.00 90.00
Last column: nearest neighbours and their distance in Å.
Space group P4/mmm (No. 123)
Inequivalent atoms, fractional coordinates:
1 Zr 0.0000 0.0000 0.0000 (multiplicity 1)  2 Se 2.57, 4 As 2.61
2 Be 0.5000 0.5000 0.5000 (multiplicity 1)  8 As 3.66, 4 Se 3.69
3 As 0.0000 0.5000 0.0000 (multiplicity 2)  2 Zr 2.61
4 Se 0.0000 0.0000 0.5000 (multiplicity 1)  2 Zr 2.57

# 3
Here is ZrBe2AsSe after structural relaxation from Alexandria via LeMat-Bulk. Energies are from PBE-GGA.

Properties
For the volume, the calculation gives 118.1 Å³/cell. The uncorrected formation energy comes out at 26.3 kcal/mol of atoms. As for the crystal system: tetragonal. As for the magnetic moment: 0.00 μB per formula unit. The density of states at the Fermi level is 0.719 states/eV per atom.

abc: 4.8614 4.8614 4.9970
angles: 90.00 90.00 90.00
Last column: nearest neighbours and their distance in Å.
Space group P4/mmm (No. 123)
Inequivalent atoms, fractional coordinates:
1 Zr 0.0000 0.0000 0.0000 (multiplicity 1)  4 Be 2.43, 2 Se 2.50
2 Be 0.0000 0.5000 0.0000 (multiplicity 2)  2 Zr 2.43
3 As 0.5000 0.5000 0.5000 (multiplicity 1)  4 Se 3.44, 8 Be 3.49
4 Se 0.0000 0.0000 0.5000 (multiplicity 1)  2 Zr 2.50

# 4
Here is BeSi2As after structural relaxation from Alexandria via LeMat-Bulk. Energies are from PBE-GGA.

Properties
For the volume, the calculation gives 174.6 Å³/cell. The uncorrected formation energy comes out at 12.3 kcal/mol of atoms. As for the crystal system: trigonal. As for the magnetic moment: 0.00 μB per formula unit. The density of states at the Fermi level is 0.226 states/eV per atom.

abc: 2.8958 2.8958 24.0441
angles: 90.00 90.00 120.00
Last column: nearest neighbours and their distance in Å.
Space group R-3m (No. 166, hexagonal axes)
Inequivalent atoms, fractional coordinates:
1 Be 0.0000 0.0000 0.0000 (multiplicity 3)  6 Si 2.39
2 Si 0.0000 0.0000 0.2621 (multiplicity 6)  3 Be 2.39
3 As 0.0000 0.0000 0.5000 (multiplicity 3)  6 Si 2.84, 6 As 2.90

# 5
Here is BeSiAs2 after structural relaxation from Alexandria via LeMat-Bulk. Energies are from PBE-GGA.

Properties
For the volume, the calculation gives 191.0 Å³/cell. The uncorrected formation energy comes out at 10.8 kcal/mol of atoms. As for the crystal system: trigonal. As for the magnetic moment: 0.00 μB per formula unit. Its energy above the lowest structure with this stoichiometry is 0.685 eV/atom. The density of states at the Fermi level is 0.494 states/eV per atom.

abc: 2.9546 2.9546 25.2625
angles: 90.00 90.00 120.00
Last column: nearest neighbours and their distance in Å.
Space group R-3m (No. 166, hexagonal axes)
Inequivalent atoms, fractional coordinates:
1 Be 0.0000 0.0000 0.0000 (multiplicity 3)  6 As 2.45
2 Si 0.0000 0.0000 0.5000 (multiplicity 3)  6 Si 2.95, 6 As 2.99
3 As 0.0000 0.0000 0.2639 (multiplicity 6)  3 Be 2.45

# 6
Here is BeSiAs2 after structural relaxation from Alexandria via LeMat-Bulk. Energies are from PBE-GGA.

Properties
For the volume, the calculation gives 131.0 Å³/cell. The uncorrected formation energy comes out at 8.8 kcal/mol of atoms. As for the crystal system: orthorhombic. As for the magnetic moment: 0.00 μB per formula unit. Its energy above the lowest structure with this stoichiometry is 0.599 eV/atom. The density of states at the Fermi level is 0.221 states/eV per atom.

abc: 3.5472 4.1968 8.8030
angles: 90.00 90.00 90.00
Last column: nearest neighbours and their distance in Å.
Space group Cmm2 (No. 35)
Inequivalent atoms, fractional coordinates:
1 Be 0.0000 0.0000 0.0000 (multiplicity 2)  4 Si 2.42-2.67, 4 As 2.44-2.68
2 Si 0.0000 0.5000 0.8124 (multiplicity 2)  4 Be 2.42-2.67
3 As 0.0000 0.0000 0.5659 (multiplicity 2)  4 As 2.75, 4 Si 2.80-3.02
4 As 0.0000 0.5000 0.1898 (multiplicity 2)  4 Be 2.44-2.68

# 7
Here is BeSiAs2 after structural relaxation from Alexandria via LeMat-Bulk. Energies are from PBE-GGA.

Properties
For the volume, the calculation gives 309.8 Å³/cell. The uncorrected formation energy comes out at -5.0 kcal/mol of atoms. As for the crystal system: tetragonal. As for the magnetic moment: 0.00 μB per formula unit. Its energy above the lowest structure with this stoichiometry is 0.000 eV/atom. The density of states at the Fermi level is 0.000 states/eV per atom.

abc: 5.3715 5.3715 10.7369
angles: 90.00 90.00 90.00
Last column: nearest neighbours and their distance in Å.
Space group I-42d (No. 122)
Inequivalent atoms, fractional coordinates:
1 Be 0.0000 0.0000 0.0000 (multiplicity 4)  4 As 2.27
2 Si 0.0000 0.0000 0.5000 (multiplicity 4)  4 As 2.39
3 As 0.2303 0.2500 0.1250 (multiplicity 8)  2 Be 2.27, 2 Si 2.39

# 8
Here is BeSi2As after structural relaxation from Alexandria via LeMat-Bulk. Energies are from PBE-GGA.

Properties
For the volume, the calculation gives 118.4 Å³/cell. The uncorrected formation energy comes out at 6.6 kcal/mol of atoms. As for the crystal system: orthorhombic. As for the magnetic moment: 0.00 μB per formula unit. The density of states at the Fermi level is 0.298 states/eV per atom.

abc: 4.8270 5.4383 4.5116
angles: 90.00 90.00 90.00
Last column: nearest neighbours and their distance in Å.
Space group Cmmm (No. 65)
Inequivalent atoms, fractional coordinates:
1 Be 0.0000 0.0000 0.0000 (multiplicity 2)  2 As 2.41, 4 Si 2.55
2 Si 0.0000 0.2185 0.5000 (multiplicity 4)  3 Si 2.38-2.44, 2 Be 2.55
3 As 0.0000 0.5000 0.0000 (multiplicity 2)  2 Be 2.41

# 9
Here is BeSi2As after structural relaxation from Alexandria via LeMat-Bulk. Energies are from PBE-GGA.

Properties
For the volume, the calculation gives 59.5 Å³/cell. The uncorrected formation energy comes out at 11.7 kcal/mol of atoms. As for the crystal system: tetragonal. As for the magnetic moment: 0.00 μB per formula unit. The density of states at the Fermi level is 0.366 states/eV per atom.

abc: 3.4832 3.4832 4.9048
angles: 90.00 90.00 90.00
Last column: nearest neighbours and their distance in Å.
Space group P4/mmm (No. 123)
Inequivalent atoms, fractional coordinates:
1 Be 0.0000 0.0000 0.0000 (multiplicity 1)  4 As 2.46
2 Si 0.0000 0.5000 0.5000 (multiplicity 2)  4 Si 2.46
3 As 0.5000 0.5000 0.0000 (multiplicity 1)  4 Be 2.46

# 10
Here is BeSi2As after structural relaxation from Alexandria via LeMat-Bulk. Energies are from PBE-GGA.

Properties
For the volume, the calculation gives 137.8 Å³/cell. The uncorrected formation energy comes out at 3.7 kcal/mol of atoms. As for the crystal system: monoclinic. As for the magnetic moment: 0.00 μB per formula unit. The density of states at the Fermi level is 0.161 states/eV per atom.

abc: 6.7713 3.7580 5.6519
angles: 90.00 106.59 90.00
Last column: nearest neighbours and their distance in Å.
Space group Cm (No. 8)
Inequivalent atoms, fractional coordinates:
1 Be 0.0000 0.0000 0.0000 (multiplicity 2)  3 As 2.22, 1 Si 2.32
2 Si 0.2564 0.0000 0.4196 (multiplicity 2)  3 Si 2.37-2.39, 1 Be 2.51
3 Si 0.4695 0.5000 0.5814 (multiplicity 2)  1 Be 2.32, 3 Si 2.37-2.39
4 As 0.1821 0.5000 0.0351 (multiplicity 2)  3 Be 2.22

# 11
Here is BeSi2As after structural relaxation from Alexandria via LeMat-Bulk. Energies are from PBE-GGA.

Properties
For the volume, the calculation gives 116.1 Å³/cell. The uncorrected formation energy comes out at 13.8 kcal/mol of atoms. As for the crystal system: tetragonal. As for the magnetic moment: 0.00 μB per formula unit. The density of states at the Fermi level is 0.411 states/eV per atom.

abc: 4.1006 4.1006 6.9060
angles: 90.00 90.00 90.00
Last column: nearest neighbours and their distance in Å.
Space group I-4m2 (No. 119)
Inequivalent atoms, fractional coordinates:
1 Be 0.0000 0.0000 0.0000 (multiplicity 2)  4 As 2.68, 8 Si 2.68-2.90
2 Si 0.0000 0.0000 0.5000 (multiplicity 2)  4 As 2.68, 4 Si 2.68, 4 Be 2.90
3 Si 0.0000 0.5000 0.7500 (multiplicity 2)  4 Be 2.68, 4 Si 2.68, 4 As 2.90
4 As 0.0000 0.5000 0.2500 (multiplicity 2)  4 Be 2.68, 8 Si 2.68-2.90

# 12
Here is BeSiAs2 after structural relaxation from Alexandria via LeMat-Bulk. Energies are from PBE-GGA.

Properties
For the volume, the calculation gives 92.9 Å³/cell. The uncorrected formation energy comes out at 0.7 kcal/mol of atoms. As for the crystal system: monoclinic. As for the magnetic moment: 0.00 μB per formula unit. Its energy above the lowest structure with this stoichiometry is 0.250 eV/atom. The density of states at the Fermi level is 0.129 states/eV per atom.

abc: 3.6782 3.6795 6.8631
angles: 90.00 90.35 90.00
Last column: nearest neighbours and their distance in Å.
Space group Pm (No. 6)
Inequivalent atoms, fractional coordinates:
1 Be 0.0000 0.0000 0.0000 (multiplicity 1)  4 As 2.39-2.42, 4 Si 2.58-2.62
2 Si 0.4921 0.5000 0.0009 (multiplicity 1)  4 As 2.40-2.41, 4 Be 2.58-2.62
3 As 0.5088 0.0000 0.2263 (multiplicity 1)  2 Be 2.39-2.42, 2 Si 2.40
4 As 0.9864 0.5000 0.7751 (multiplicity 1)  2 Si 2.40-2.41, 2 Be 2.40